BaSr4: relaxed, PBEsol.

a b c (Å): 4.2151 4.2151 51.7145
angles (deg): 90.00 90.00 120.00
Closest atoms and distances in Å follow each position.
Space group R-3m (No. 166, hexagonal axes)
One atom of each set of equivalent atoms:
Ba  0.0000  0.0000  0.0000 [3 per cell]  6 Ba 4.22, 6 Sr 4.28
Sr  0.0000  0.0000  0.1995 [6 per cell]  12 Sr 4.18-4.22
Sr  0.0000  0.0000  0.4014 [6 per cell]  9 Sr 4.18-4.22, 3 Ba 4.28

Properties
Total magnetization = 0.001 μB/f.u.
E_tot = -9.482 eV/f.u.
Crystal system = trigonal
E_form = 0.01 eV/atom